Record 1
Entry from the Alexandria database: a geometry-optimized TaVBi2 structure (PBE-GGA).

abc: 6.6392 6.6392 12.2641
angles: 90.00 90.00 90.00
With the nearest neighbours (Å) after each atom.
Space group I-42d (No. 122)
Inequivalent atoms, fractional coordinates:
Ta (0.0000, 0.0000, 0.0000)  4 Bi 2.79
V (0.0000, 0.0000, 0.5000)  4 Bi 2.81
Bi (0.2474, 0.2500, 0.1250)  2 Ta 2.79, 2 V 2.81

VASP energy: -0.221 hartree per atom
Relative energy among the computed polymorphs: 224 kJ/mol of formula units
DOS at the Fermi energy: 5.28 states/eV/f.u.
Spin magnetization: 16.04 μB per cell
E_form: 1162 meV per atom

***

Record 2
Entry from the Alexandria database: a geometry-optimized TaV2Bi2 structure (PBE-GGA).

abc: 7.7828 7.7828 3.2627
angles: 90.00 90.00 90.00
With the nearest neighbours (Å) after each atom.
Space group P4/mbm (No. 127)
Inequivalent atoms, fractional coordinates:
Ta (0.0000, 0.0000, 0.0000)  4 Bi 2.90
V (0.1247, 0.3753, 0.5000)  1 V 2.75, 6 Bi 2.81-2.82
Bi (0.1662, 0.6662, 0.0000)  6 V 2.81-2.82, 2 Ta 2.90

VASP energy: -0.253 hartree per atom
Relative energy among the computed polymorphs: 0 kJ/mol of formula units
DOS at the Fermi energy: 4.65 states/eV/f.u.
Spin magnetization: 0.00 μB per cell
E_form: 674 meV per atom